1.
Density functional theory data (PBE) for an optimized crystal structure of Rb3Dy3SbS8.

Unit cell a=8.0318 b=8.0318 c=23.5000 alpha=90.00 beta=90.00 gamma=120.00
Space group R-3m (No. 166, hexagonal axes)
Inequivalent atoms, fractional coordinates:
Rb: 0.0000 0.5000 0.0000
Dy: 0.0000 0.5000 0.5000
Sb: 0.0000 0.0000 0.5000
S: 0.0000 0.0000 0.2300
S: 0.0102 0.5051 0.2286

Summary:
Electronic total energy   -229.94 eV per cell
D(E_F)   2.3 states/eV/f.u.
Raw formation energy   -1.520 eV/atom


2.
Density functional theory data (PBE) for an optimized crystal structure of Rb2DySbS4.

Unit cell a=8.481 b=8.619 c=12.090 alpha=90.00 beta=90.00 gamma=90.00
Space group Imma (No. 74)
Inequivalent atoms, fractional coordinates:
Rb: 0.000 0.000 0.000
Rb: 0.250 0.250 0.250
Dy: 0.250 0.250 0.750
Sb: 0.000 0.000 0.500
S: 0.000 0.038 0.733
S: 0.217 0.250 0.520

Summary:
Electronic total energy   -147.39 eV per cell
Raw formation energy   -1.210 eV/atom


3.
Density functional theory data (PBE) for an optimized crystal structure of RbDySc4S8.

Unit cell a=7.8286 b=7.8286 c=20.0804 alpha=90.00 beta=90.00 gamma=120.00
Space group R3m (No. 160, hexagonal axes)
Inequivalent atoms, fractional coordinates:
Rb: 0.0000 0.0000 0.0000
Dy: 0.0000 0.0000 0.6406
Sc: 0.0000 0.0000 0.2624
Sc: 0.1732 0.3464 0.4662
S: 0.0000 0.0000 0.3922
S: 0.0000 0.0000 0.8604
S: 0.0430 0.5215 0.3982
S: 0.1725 0.3451 0.2168

Summary:
Electronic total energy   -264.66 eV per cell
D(E_F)   0.0 states/eV/f.u.
Raw formation energy   -1.736 eV/atom


4.
Density functional theory data (PBE) for an optimized crystal structure of Rb3Dy3ScS8.

Unit cell a=13.796 b=7.959 c=9.092 alpha=90.00 beta=120.44 gamma=90.00
Space group C2/m (No. 12)
Inequivalent atoms, fractional coordinates:
Rb: 0.000 0.000 0.000
Rb: 0.250 0.250 0.000
Dy: 0.000 0.500 0.500
Dy: 0.250 0.250 0.500
Sc: 0.000 0.000 0.500
S: 0.019 0.240 0.317
S: 0.221 0.000 0.683
S: 0.231 0.500 0.692

Summary:
Electronic total energy   -164.41 eV per cell
D(E_F)   11.0 states/eV/f.u.
Raw formation energy   -1.743 eV/atom


5.
Density functional theory data (PBE) for an optimized crystal structure of RbDySeS.

Unit cell a=4.1395 b=4.1395 c=23.9293 alpha=90.00 beta=90.00 gamma=120.00
Space group R3m (No. 160, hexagonal axes)
Inequivalent atoms, fractional coordinates:
Rb: 0.0000 0.0000 0.0000
Dy: 0.0000 0.0000 0.1642
Se: 0.0000 0.0000 0.5656
S: 0.0000 0.0000 0.7707

Summary:
Electronic total energy   -60.78 eV per cell
D(E_F)   0.0 states/eV/f.u.
Raw formation energy   -1.769 eV/atom


6.
Density functional theory data (PBE) for an optimized crystal structure of Rb2DySiS4.

Unit cell a=6.527 b=14.111 c=24.862 alpha=90.00 beta=90.00 gamma=90.00
Space group Fddd (No. 70, origin choice 2)
Inequivalent atoms, fractional coordinates:
Rb: 0.125 0.125 0.306
Dy: 0.125 0.125 0.125
Si: 0.125 0.125 0.625
S: 0.077 0.285 0.827

Summary:
Electronic total energy   -299.58 eV per cell
D(E_F)   2.1 states/eV/f.u.
Raw formation energy   -1.122 eV/atom


7.
Density functional theory data (PBE) for an optimized crystal structure of Rb3SmDy2S6.

Unit cell a=7.120 b=12.332 c=8.055 alpha=90.00 beta=107.14 gamma=90.00
Space group C2/m (No. 12)
Inequivalent atoms, fractional coordinates:
Rb: 0.000 0.000 0.000
Rb: 0.000 0.334 0.000
Sm: 0.000 0.500 0.500
Dy: 0.000 0.167 0.500
S: 0.226 0.000 0.693
S: 0.234 0.331 0.693

Summary:
Electronic total energy   -127.55 eV per cell
D(E_F)   0.0 states/eV/f.u.
Raw formation energy   -1.849 eV/atom


8.
Density functional theory data (PBE) for an optimized crystal structure of Rb2DySnS4.

Unit cell a=6.794 b=14.797 c=24.072 alpha=90.00 beta=90.00 gamma=90.00
Space group Fddd (No. 70, origin choice 2)
Inequivalent atoms, fractional coordinates:
Rb: 0.125 0.125 0.309
Dy: 0.125 0.125 0.125
Sn: 0.125 0.125 0.625
S: 0.124 0.275 0.428

Summary:
Electronic total energy   -284.98 eV per cell
D(E_F)   3.9 states/eV/f.u.
Raw formation energy   -1.072 eV/atom


9.
Density functional theory data (PBE) for an optimized crystal structure of Rb3Dy2SnS6.

Unit cell a=7.084 b=12.270 c=8.016 alpha=90.00 beta=107.11 gamma=90.00
Space group C2/m (No. 12)
Inequivalent atoms, fractional coordinates:
Rb: 0.000 0.000 0.000
Rb: 0.000 0.334 0.000
Dy: 0.000 0.167 0.500
Sn: 0.000 0.500 0.500
S: 0.229 0.000 0.691
S: 0.231 0.333 0.691

Summary:
Electronic total energy   -116.70 eV per cell
D(E_F)   5.1 states/eV/f.u.
Raw formation energy   -1.456 eV/atom


10.
Density functional theory data (PBE) for an optimized crystal structure of Rb2Dy2SnS6.

Unit cell a=6.867 b=11.827 c=8.255 alpha=90.00 beta=106.43 gamma=90.00
Space group C2/m (No. 12)
Inequivalent atoms, fractional coordinates:
Rb: 0.000 0.170 0.000
Dy: 0.000 0.332 0.500
Sn: 0.000 0.000 0.500
S: 0.224 0.160 0.687
S: 0.249 0.500 0.684

Summary:
Electronic total energy   -111.60 eV per cell
Raw formation energy   -1.445 eV/atom


11.
Density functional theory data (PBE) for an optimized crystal structure of Rb3Dy3SnS8.

Unit cell a=7.9935 b=7.9935 c=23.5749 alpha=90.00 beta=90.00 gamma=120.00
Space group R-3m (No. 166, hexagonal axes)
Inequivalent atoms, fractional coordinates:
Rb: 0.0000 0.5000 0.0000
Dy: 0.0000 0.5000 0.5000
Sn: 0.0000 0.0000 0.5000
S: 0.0000 0.0000 0.2298
S: 0.0152 0.5076 0.2285

Summary:
Electronic total energy   -231.15 eV per cell
Raw formation energy   -1.555 eV/atom


12.
Density functional theory data (PBE) for an optimized crystal structure of RbDySnS3.

Unit cell a=3.985 b=17.306 c=11.313 alpha=90.00 beta=90.00 gamma=90.00
Space group Cmcm (No. 63)
Inequivalent atoms, fractional coordinates:
Rb: 0.000 0.183 0.250
Dy: 0.000 0.500 0.000
Sn: 0.000 0.115 0.750
S: 0.000 0.107 0.504
S: 0.000 0.487 0.250

Summary:
Electronic total energy   -118.36 eV per cell
Raw formation energy   -1.272 eV/atom


13.
Density functional theory data (PBE) for an optimized crystal structure of Rb3SrDy2S6.

Unit cell a=7.249 b=12.557 c=8.067 alpha=90.00 beta=107.49 gamma=90.00
Space group C2/m (No. 12)
Inequivalent atoms, fractional coordinates:
Rb: 0.000 0.000 0.000
Rb: 0.000 0.338 0.000
Sr: 0.000 0.500 0.500
Dy: 0.000 0.167 0.500
S: 0.209 0.000 0.695
S: 0.244 0.322 0.696

Summary:
Electronic total energy   -116.98 eV per cell
D(E_F)   12.6 states/eV/f.u.
Raw formation energy   -1.661 eV/atom


14.
Density functional theory data (PBE) for an optimized crystal structure of Rb3Dy3TaS8.

Unit cell a=7.8716 b=7.8716 c=23.5692 alpha=90.00 beta=90.00 gamma=120.00
Space group R-3m (No. 166, hexagonal axes)
Inequivalent atoms, fractional coordinates:
Rb: 0.0000 0.5000 0.0000
Dy: 0.0000 0.5000 0.5000
Ta: 0.0000 0.0000 0.5000
S: 0.0000 0.0000 0.2311
S: 0.0249 0.5125 0.2273

Summary:
Electronic total energy   -258.71 eV per cell
D(E_F)   4.2 states/eV/f.u.
Raw formation energy   -1.644 eV/atom


15.
Density functional theory data (PBE) for an optimized crystal structure of Rb3Tb2DyS6.

Unit cell a=7.088 b=12.277 c=8.048 alpha=90.00 beta=107.08 gamma=90.00
Space group C2/m (No. 12)
Inequivalent atoms, fractional coordinates:
Rb: 0.000 0.000 0.000
Rb: 0.000 0.333 0.000
Tb: 0.000 0.167 0.500
Dy: 0.000 0.500 0.500
S: 0.230 0.334 0.692
S: 0.232 0.000 0.692

Summary:
Electronic total energy   -127.59 eV per cell
D(E_F)   0.0 states/eV/f.u.
Raw formation energy   -1.855 eV/atom


16.
Density functional theory data (PBE) for an optimized crystal structure of RbTbDy4S8.

Unit cell a=8.2694 b=8.2694 c=20.3262 alpha=90.00 beta=90.00 gamma=120.00
Space group R3m (No. 160, hexagonal axes)
Inequivalent atoms, fractional coordinates:
Rb: 0.0000 0.0000 0.0000
Tb: 0.0000 0.0000 0.6305
Dy: 0.0000 0.0000 0.2509
Dy: 0.1727 0.3454 0.4576
S: 0.0000 0.0000 0.3829
S: 0.0000 0.0000 0.8565
S: 0.0498 0.5249 0.3826
S: 0.1759 0.3518 0.2066

Summary:
Electronic total energy   -251.05 eV per cell
D(E_F)   0.0 states/eV/f.u.
Raw formation energy   -1.904 eV/atom


17.
Density functional theory data (PBE) for an optimized crystal structure of RbTb4DyS8.

Unit cell a=8.3085 b=8.3085 c=20.2902 alpha=90.00 beta=90.00 gamma=120.00
Space group R3m (No. 160, hexagonal axes)
Inequivalent atoms, fractional coordinates:
Rb: 0.0000 0.0000 0.0000
Tb: 0.0000 0.0000 0.2493
Tb: 0.1727 0.3455 0.4562
Dy: 0.0000 0.0000 0.6289
S: 0.0000 0.0000 0.3816
S: 0.0000 0.0000 0.8557
S: 0.0511 0.5256 0.3803
S: 0.1765 0.3530 0.2056

Summary:
Electronic total energy   -251.38 eV per cell
D(E_F)   0.0 states/eV/f.u.
Raw formation energy   -1.906 eV/atom


18.
Density functional theory data (PBE) for an optimized crystal structure of Rb2TbDyS4.

Unit cell a=7.084 b=4.089 c=8.044 alpha=90.00 beta=107.05 gamma=90.00
Space group P2/m (No. 10)
Inequivalent atoms, fractional coordinates:
Rb: 0.000 0.000 0.000
Rb: 0.500 0.500 0.000
Tb: 0.000 0.500 0.500
Dy: 0.500 0.000 0.500
S: 0.232 0.000 0.692
S: 0.270 0.500 0.308

Summary:
Electronic total energy   -42.52 eV per cell
D(E_F)   0.0 states/eV/f.u.
Raw formation energy   -1.855 eV/atom


19.
Density functional theory data (PBE) for an optimized crystal structure of Rb2DyTe2S6.

Unit cell a=11.021 b=7.536 c=8.933 alpha=90.00 beta=109.76 gamma=90.00
Space group C2/m (No. 12)
Inequivalent atoms, fractional coordinates:
Rb: 0.194 0.000 0.122
Dy: 0.000 0.000 0.500
Te: 0.082 0.500 0.247
S: 0.042 0.220 0.762
S: 0.248 0.500 0.493

Summary:
Electronic total energy   -91.32 eV per cell
D(E_F)   2.3 states/eV/f.u.
Raw formation energy   -0.734 eV/atom


20.
Density functional theory data (PBE) for an optimized crystal structure of RbDyTeS.

Unit cell a=4.2572 b=4.2572 c=25.0044 alpha=90.00 beta=90.00 gamma=120.00
Space group R3m (No. 160, hexagonal axes)
Inequivalent atoms, fractional coordinates:
Rb: 0.0000 0.0000 0.0000
Dy: 0.0000 0.0000 0.1553
Te: 0.0000 0.0000 0.5629
S: 0.0000 0.0000 0.7672

Summary:
Electronic total energy   -57.21 eV per cell
D(E_F)   0.0 states/eV/f.u.
Raw formation energy   -1.558 eV/atom